(1)
The following is a DFT calculation (PBE) of NaTeMo2Ir after structural relaxation.

Summary:
Uncorrected formation energy ... 786.2 kJ/mol of formula units
Space group ... P4/mmm, No. 123

Cell lengths 4.9618, 4.9618, 4.9003 Å; angles 90.00, 90.00, 90.00 degrees
Last column: nearest neighbours and their distance in Å.
Sites, in units of the cell vectors:
Na 0.0000 0.0000 0.0000  8 Mo 3.49, 4 Ir 3.51
Te 0.5000 0.5000 0.5000  2 Ir 2.45, 4 Mo 2.48
Mo 0.0000 0.5000 0.5000  2 Te 2.48
Mo 0.5000 0.0000 0.5000  2 Te 2.48
Ir 0.5000 0.5000 0.0000  2 Te 2.45

(2)
The following is a DFT calculation (PBE) of MgP after structural relaxation.

Summary:
ΔE to the lowest computed polymorph ... 0.26 eV per formula unit
Space group ... C2, No. 5
ΔE_f ... -0.3919 eV/atom

Cell lengths 4.9908, 6.9149, 4.9528 Å; angles 90.00, 108.37, 90.00 degrees
Last column: nearest neighbours and their distance in Å.
Sites, in units of the cell vectors:
Mg 0.2200 0.0000 0.2792  5 P 2.56-2.70
Mg 0.2800 0.5000 0.7208  5 P 2.56-2.70
Mg 0.7200 0.5000 0.2792  5 P 2.56-2.70
Mg 0.7800 0.0000 0.7208  5 P 2.56-2.70
P 0.1969 0.3659 0.1988  1 P 2.30, 1 Mg 2.56
P 0.3031 0.8659 0.8012  1 P 2.30, 1 Mg 2.56
P 0.6969 0.8659 0.1988  1 P 2.30, 1 Mg 2.56
P 0.8031 0.3659 0.8012  1 P 2.30, 1 Mg 2.56

(3)
The following is a DFT calculation (PBE) of Pm2Ni4AgSb3 after structural relaxation.

Summary:
Uncorrected formation energy ... -547.2 kJ/mol of formula units
Space group ... P-4m2, No. 115

Cell lengths 4.3856, 4.3856, 10.0989 Å; angles 90.00, 90.00, 90.00 degrees
Last column: nearest neighbours and their distance in Å.
Sites, in units of the cell vectors:
Pm 0.0000 0.5000 0.2416  8 Ni 3.28-3.37, 6 Sb 3.30-3.41, 2 Ag 3.41
Pm 0.5000 0.0000 0.7584  8 Ni 3.28-3.37, 6 Sb 3.30-3.41, 2 Ag 3.41
Ni 0.0000 0.0000 0.0000  4 Sb 2.56
Ni 0.0000 0.5000 0.6267  3 Sb 2.45-2.54, 2 Ag 2.54
Ni 0.5000 0.0000 0.3733  3 Sb 2.45-2.54, 2 Ag 2.54
Ni 0.5000 0.5000 0.0000  4 Sb 2.56
Ag 0.0000 0.0000 0.5000  4 Ni 2.54
Sb 0.0000 0.5000 0.8697  5 Ni 2.45-2.56
Sb 0.5000 0.0000 0.1303  5 Ni 2.45-2.56
Sb 0.5000 0.5000 0.5000  4 Ni 2.54

(4)
The following is a DFT calculation (PBE) of Sm2DyPuN4 after structural relaxation.

Summary:
Uncorrected formation energy ... -1140.7 kJ/mol of formula units
Space group ... P2/m, No. 10

Cell lengths 6.0837, 3.5311, 6.0982 Å; angles 90.00, 109.29, 90.00 degrees
Last column: nearest neighbours and their distance in Å.
Sites, in units of the cell vectors:
Sm 0.0000 0.0000 0.0000  6 N 2.56
Sm 0.5000 0.5000 0.0000  6 N 2.52
Dy 0.0000 0.5000 0.5000  6 N 2.46-2.47
Pu 0.5000 0.0000 0.5000  6 N 2.41-2.43
N 0.2520 0.0000 0.7370  1 Pu 2.41, 2 Dy 2.47, 3 Sm 2.52-2.56
N 0.2606 0.5000 0.2667  2 Pu 2.43, 1 Dy 2.46, 3 Sm 2.52-2.56
N 0.7394 0.5000 0.7333  2 Pu 2.43, 1 Dy 2.46, 3 Sm 2.52-2.56
N 0.7480 0.0000 0.2630  1 Pu 2.41, 2 Dy 2.47, 3 Sm 2.52-2.56

| no. | raw total energy (eV per cell) |
| --- | --- |
| 1 | -26.84 |
| 2 | -31.15 |
| 3 | -53.52 |
| 4 | -73.50 |